Compound: KHgSe3
Source: the Alexandria database
Functional: meta-GGA SCAN
Structure: single point on PBEsol structure

Results
Crystal system = cubic
N(E_F) = 5.398 states/eV per cell
Raw formation energy = -30 kJ/mol of formula units

a b c (Å): 5.2742 5.2742 5.2742
angles (deg): 90.00 90.00 90.00
With the nearest neighbours (Å) after each atom.
Space group Pm-3m (No. 221)
Asymmetric unit:
1 K 0.0000 0.0000 0.0000 x1  12 Se 3.73
2 Hg 0.5000 0.5000 0.5000 x1  6 Se 2.64
3 Se 0.0000 0.5000 0.5000 x3  2 Hg 2.64



Compound: LaNi13
Source: the Alexandria database
Functional: meta-GGA SCAN
Structure: single point on PBEsol structure

Results
Crystal system = cubic
N(E_F) = 114.841 states/eV per cell
ΔH_f (0 K) = -0.087 eV/atom

a b c (Å): 11.0826 11.0826 11.0826
angles (deg): 90.00 90.00 90.00
With the nearest neighbours (Å) after each atom.
Space group Fm-3c (No. 226)
Asymmetric unit:
1 La 0.2500 0.2500 0.2500 x8  24 Ni 3.24
2 Ni 0.0000 0.0000 0.0000 x8  12 Ni 2.37
3 Ni 0.0000 0.1159 0.1797 x96  10 Ni 2.37-2.57



Compound: CsK3Tl
Source: the Alexandria database
Functional: meta-GGA SCAN
Structure: single point on PBEsol structure

Results
Crystal system = cubic
N(E_F) = 3.741 states/eV per cell
ΔH_f (0 K) = -0.043 eV/atom

a b c (Å): 6.9050 6.9050 6.9050
angles (deg): 90.00 90.00 90.00
With the nearest neighbours (Å) after each atom.
Space group Pm-3m (No. 221)
Asymmetric unit:
1 Cs 0.0000 0.0000 0.0000 x1  12 K 4.88
2 K 0.0000 0.5000 0.5000 x3  2 Tl 3.45
3 Tl 0.5000 0.5000 0.5000 x1  6 K 3.45



Compound: Y2RuPb
Source: the Alexandria database
Functional: meta-GGA SCAN
Structure: single point on PBEsol structure

Results
Crystal system = cubic
ΔH_f (0 K) = -0.311 eV/atom

a b c (Å): 6.9597 6.9597 6.9597
angles (deg): 90.00 90.00 90.00
With the nearest neighbours (Å) after each atom.
Space group F-43m (No. 216)
Asymmetric unit:
1 Y 0.0000 0.0000 0.0000 x4  4 Y 3.01, 4 Ru 3.01
2 Y 0.2500 0.2500 0.2500 x4  4 Pb 3.01, 4 Y 3.01
3 Ru 0.2500 0.2500 0.7500 x4  4 Pb 3.01, 4 Y 3.01
4 Pb 0.0000 0.0000 0.5000 x4  4 Ru 3.01, 4 Y 3.01



Compound: KMg30CoO32
Source: the Alexandria database
Functional: meta-GGA SCAN
Structure: single point on PBEsol structure

Results
Crystal system = tetragonal
N(E_F) = 0.000 states/eV per cell
Raw formation energy = -17755 kJ/mol of formula units

a b c (Å): 8.4893 8.4893 8.4718
angles (deg): 90.00 90.00 90.00
With the nearest neighbours (Å) after each atom.
Space group P4/mmm (No. 123)
Asymmetric unit:
1 K 0.0000 0.0000 0.0000 x1  6 O 2.32-2.35
2 Mg 0.0000 0.2510 0.2495 x8  6 O 2.12-2.14
3 Mg 0.0000 0.5000 0.0000 x2  4 O 1.93-2.15
4 Mg 0.0000 0.5000 0.5000 x2  6 O 2.05-2.23
5 Mg 0.2489 0.2489 0.5000 x4  6 O 2.11-2.13
6 Mg 0.2500 0.5000 0.2493 x8  6 O 2.11-2.13
7 Mg 0.2515 0.2515 0.0000 x4  6 O 2.11-2.14
8 Mg 0.5000 0.5000 0.0000 x1  6 O 2.09-2.14
9 Mg 0.5000 0.5000 0.5000 x1  6 O 2.10-2.14
10 Co 0.0000 0.0000 0.5000 x1  6 O 1.88-2.01
11 O 0.0000 0.0000 0.2778 x2  1 Co 1.88
12 O 0.0000 0.2370 0.5000 x4  1 Co 2.01, 5 Mg 2.12-2.23
13 O 0.0000 0.2730 0.0000 x4  5 Mg 1.93-2.14
14 O 0.0000 0.5000 0.2583 x4  6 Mg 2.05-2.19
15 O 0.2480 0.5000 0.5000 x4  6 Mg 2.11-2.14
16 O 0.2494 0.2494 0.2508 x8  6 Mg 2.11-2.13
17 O 0.2538 0.5000 0.0000 x4  6 Mg 2.09-2.15
18 O 0.5000 0.5000 0.2527 x2  6 Mg 2.10-2.14



Compound: RbSr2TaTl
Source: the Alexandria database
Functional: meta-GGA SCAN
Structure: single point on PBEsol structure

Results
Crystal system = tetragonal
N(E_F) = 4.802 states/eV per cell
ΔH_f (0 K) = 1.690 eV/atom

a b c (Å): 5.8294 5.8294 5.0606
angles (deg): 90.00 90.00 90.00
With the nearest neighbours (Å) after each atom.
Space group P4/mmm (No. 123)
Asymmetric unit:
1 Rb 0.0000 0.0000 0.0000 x1  2 Ta 2.53
2 Sr 0.0000 0.5000 0.0000 x2  2 Rb 2.91
3 Ta 0.0000 0.0000 0.5000 x1  2 Rb 2.53
4 Tl 0.5000 0.5000 0.5000 x1  8 Sr 3.86, 4 Ta 4.12



Compound: Fe3Pt
Source: the Alexandria database
Functional: meta-GGA SCAN
Structure: single point on PBEsol structure

Results
Crystal system = trigonal
N(E_F) = 7.843 states/eV per cell
ΔH_f (0 K) = -0.109 eV/atom

a b c (Å): 2.6743 2.6743 24.3517
angles (deg): 90.00 90.00 120.00
With the nearest neighbours (Å) after each atom.
Space group R-3m (No. 166, hexagonal axes)
Asymmetric unit:
1 Fe 0.0000 0.0000 0.0000 x3  12 Fe 2.45-2.67
2 Fe 0.0000 0.0000 0.2553 x6  9 Fe 2.45-2.67, 3 Pt 2.65
3 Pt 0.0000 0.0000 0.5000 x3  6 Fe 2.65, 6 Pt 2.67



Compound: BeBi2F
Source: the Alexandria database
Functional: meta-GGA SCAN
Structure: single point on PBEsol structure

Results
Crystal system = cubic
N(E_F) = 5.113 states/eV per cell
Raw formation energy = -137 kJ/mol of formula units

a b c (Å): 6.6448 6.6448 6.6448
angles (deg): 90.00 90.00 90.00
With the nearest neighbours (Å) after each atom.
Space group Fm-3m (No. 225)
Asymmetric unit:
1 Be 0.0000 0.0000 0.0000 x4  8 Bi 2.88
2 Bi 0.2500 0.2500 0.2500 x8  4 F 2.88, 4 Be 2.88
3 F 0.0000 0.0000 0.5000 x4  8 Bi 2.88



Compound: Ta2Co2Ru
Source: the Alexandria database
Functional: meta-GGA SCAN
Structure: single point on PBEsol structure

Results
Crystal system = tetragonal
N(E_F) = 11.337 states/eV per cell
ΔH_f (0 K) = -0.139 eV/atom

a b c (Å): 6.6316 6.6316 3.1012
angles (deg): 90.00 90.00 90.00
With the nearest neighbours (Å) after each atom.
Space group P4/mbm (No. 127)
Asymmetric unit:
1 Ta 0.1792 0.3208 0.0000 x4  6 Co 2.42-2.56
2 Co 0.1220 0.6220 0.5000 x4  1 Co 2.29, 6 Ta 2.42-2.56
3 Ru 0.0000 0.0000 0.5000 x2  4 Co 2.63, 8 Ta 2.89



Compound: LaHgS3
Source: the Alexandria database
Functional: meta-GGA SCAN
Structure: single point on PBEsol structure

Results
Crystal system = cubic
N(E_F) = 1.488 states/eV per cell
Raw formation energy = -351 kJ/mol of formula units

a b c (Å): 4.8900 4.8900 4.8900
angles (deg): 90.00 90.00 90.00
With the nearest neighbours (Å) after each atom.
Space group Pm-3m (No. 221)
Asymmetric unit:
1 La 0.0000 0.0000 0.0000 x1  12 S 3.46
2 Hg 0.5000 0.5000 0.5000 x1  6 S 2.45
3 S 0.0000 0.5000 0.5000 x3  2 Hg 2.45



Compound: RbNaI2N
Source: the Alexandria database
Functional: meta-GGA SCAN
Structure: single point on PBEsol structure

Results
Crystal system = tetragonal
Raw formation energy = -127 kJ/mol of formula units

a b c (Å): 6.0524 6.0524 4.8424
angles (deg): 90.00 90.00 90.00
With the nearest neighbours (Å) after each atom.
Space group P4/mmm (No. 123)
Asymmetric unit:
1 Rb 0.0000 0.0000 0.0000 x1  8 I 3.88, 4 N 4.28
2 Na 0.5000 0.5000 0.5000 x1  2 N 2.42
3 I 0.0000 0.5000 0.5000 x2  2 Na 3.03
4 N 0.5000 0.5000 0.0000 x1  2 Na 2.42



Compound: ZrTa2Ag
Source: the Alexandria database
Functional: meta-GGA SCAN
Structure: single point on PBEsol structure

Results
Crystal system = orthorhombic
N(E_F) = 4.061 states/eV per cell
Energy above the lowest structure with this stoichiometry = 78.1 meV/atom
ΔH_f (0 K) = 0.176 eV/atom

a b c (Å): 3.4231 4.5284 4.6859
angles (deg): 90.00 90.00 90.00
With the nearest neighbours (Å) after each atom.
Space group Pmmm (No. 47)
Asymmetric unit:
1 Zr 0.0000 0.0000 0.0000 x1  4 Ag 2.84, 4 Ta 2.90
2 Ta 0.0000 0.5000 0.5000 x1  4 Ta 2.84, 4 Ag 2.90
3 Ta 0.5000 0.0000 0.5000 x1  4 Ta 2.84, 4 Zr 2.90
4 Ag 0.5000 0.5000 0.0000 x1  4 Zr 2.84, 4 Ta 2.90



Compound: ZrCuSi
Source: the Alexandria database
Functional: meta-GGA SCAN
Structure: single point on PBEsol structure

Results
Crystal system = orthorhombic
N(E_F) = 4.923 states/eV per cell
Raw formation energy = -210 kJ/mol of formula units

a b c (Å): 6.4542 3.9024 7.2083
angles (deg): 90.00 90.00 90.00
With the nearest neighbours (Å) after each atom.
Space group Pnma (No. 62)
Asymmetric unit:
1 Zr 0.0080 0.2500 0.1949 x4  5 Si 2.76-2.80, 6 Cu 2.80-2.96
2 Cu 0.1731 0.2500 0.5778 x4  4 Si 2.35-2.53
3 Si 0.2184 0.7500 0.4010 x4  4 Cu 2.35-2.53



Compound: In2P
Source: the Alexandria database
Functional: meta-GGA SCAN
Structure: single point on PBEsol structure

Results
Crystal system = trigonal
N(E_F) = 0.724 states/eV per cell
Energy above the lowest structure with this stoichiometry = 0.0 meV/atom
ΔH_f (0 K) = -0.077 eV/atom

a b c (Å): 3.9137 3.9137 5.1780
angles (deg): 90.00 90.00 120.00
With the nearest neighbours (Å) after each atom.
Space group P-3m1 (No. 164)
Asymmetric unit:
1 In 0.3333 0.6667 0.2895 x2  3 P 2.71
2 P 0.0000 0.0000 0.0000 x1  6 In 2.71



Compound: Sc2Co3
Source: the Alexandria database
Functional: meta-GGA SCAN
Structure: single point on PBEsol structure

Results
Crystal system = trigonal
N(E_F) = 3.456 states/eV per cell
ΔH_f (0 K) = 0.415 eV/atom

a b c (Å): 4.1806 4.1806 5.0250
angles (deg): 90.00 90.00 120.00
With the nearest neighbours (Å) after each atom.
Space group P-3m1 (No. 164)
Asymmetric unit:
1 Sc 0.3333 0.6667 0.2756 x2  8 Co 2.43-2.66
2 Co 0.0000 0.0000 0.5000 x1  6 Sc 2.66, 6 Co 2.80
3 Co 0.3333 0.6667 0.7813 x2  5 Sc 2.43-2.54



Compound: TlCrTe2Ru
Source: the Alexandria database
Functional: meta-GGA SCAN
Structure: single point on PBEsol structure

Results
Crystal system = tetragonal
N(E_F) = 3.689 states/eV per cell
Raw formation energy = 317 kJ/mol of formula units

a b c (Å): 5.2027 5.2027 4.3811
angles (deg): 90.00 90.00 90.00
With the nearest neighbours (Å) after each atom.
Space group P4/mmm (No. 123)
Asymmetric unit:
1 Tl 0.0000 0.0000 0.0000 x1  8 Te 3.40, 4 Ru 3.68
2 Cr 0.5000 0.5000 0.5000 x1  2 Ru 2.19
3 Te 0.0000 0.5000 0.5000 x2  2 Cr 2.60
4 Ru 0.5000 0.5000 0.0000 x1  2 Cr 2.19



Compound: Sc2ZnCd
Source: the Alexandria database
Functional: meta-GGA SCAN
Structure: single point on PBEsol structure

Results
Crystal system = tetragonal
N(E_F) = 2.793 states/eV per cell
ΔH_f (0 K) = -0.454 eV/atom

a b c (Å): 3.3701 3.3701 6.8523
angles (deg): 90.00 90.00 90.00
With the nearest neighbours (Å) after each atom.
Space group P4/mmm (No. 123)
Asymmetric unit:
1 Sc 0.0000 0.0000 0.2308 x2  4 Zn 2.86, 4 Cd 3.01, 1 Sc 3.16
2 Zn 0.5000 0.5000 0.0000 x1  8 Sc 2.86
3 Cd 0.5000 0.5000 0.5000 x1  8 Sc 3.01, 4 Cd 3.37



Compound: SrCaTa2
Source: the Alexandria database
Functional: meta-GGA SCAN
Structure: single point on PBEsol structure

Results
Crystal system = tetragonal
N(E_F) = 5.976 states/eV per cell
Energy above the lowest structure with this stoichiometry = 0.0 meV/atom
ΔH_f (0 K) = 0.835 eV/atom

a b c (Å): 3.0425 3.0425 10.8291
angles (deg): 90.00 90.00 90.00
With the nearest neighbours (Å) after each atom.
Space group P4mm (No. 99)
Asymmetric unit:
1 Sr 0.0000 0.0000 0.0000 x1  4 Sr 3.04
2 Ca 0.5000 0.5000 0.6802 x1  4 Ca 3.04, 4 Ta 3.37
3 Ta 0.0000 0.0000 0.4404 x1  8 Ta 2.94-3.04
4 Ta 0.5000 0.5000 0.2558 x1  8 Ta 2.94-3.04



Compound: Tl2TeSe
Source: the Alexandria database
Functional: meta-GGA SCAN
Structure: single point on PBEsol structure

Results
Crystal system = orthorhombic
N(E_F) = 2.579 states/eV per cell
Raw formation energy = -37 kJ/mol of formula units
Energy above the lowest structure with this stoichiometry = 101.8 meV/atom

a b c (Å): 4.2087 4.6722 11.4038
angles (deg): 90.00 90.00 90.00
With the nearest neighbours (Å) after each atom.
Space group Immm (No. 71)
Asymmetric unit:
1 Tl 0.0000 0.0000 0.2075 x4  2 Se 3.17, 4 Tl 3.29, 2 Te 3.33
2 Te 0.0000 0.5000 0.0000 x2  4 Se 3.14, 4 Tl 3.33
3 Se 0.0000 0.5000 0.5000 x2  4 Te 3.14, 4 Tl 3.17



Compound: Hf2Rh
Source: the Alexandria database
Functional: meta-GGA SCAN
Structure: single point on PBEsol structure

Results
Crystal system = cubic
N(E_F) = 78.234 states/eV per cell
ΔH_f (0 K) = -0.732 eV/atom

a b c (Å): 12.1730 12.1730 12.1730
angles (deg): 90.00 90.00 90.00
With the nearest neighbours (Å) after each atom.
Space group Fd-3m (No. 227, origin choice 2)
Asymmetric unit:
1 Hf 0.0000 0.0000 0.0000 x16  6 Rh 2.73
2 Hf 0.0614 0.3750 0.8750 x48  2 Rh 2.68
3 Rh 0.0292 0.0292 0.2208 x32  6 Hf 2.68-2.73



Compound: CaTiVP3O12
Source: the Alexandria database
Functional: meta-GGA SCAN
Structure: single point on PBEsol structure

Results
Crystal system = trigonal
N(E_F) = 34.365 states/eV per cell
Raw formation energy = -4949 kJ/mol of formula units

a b c (Å): 8.5727 8.5727 21.6456
angles (deg): 90.00 90.00 120.00
With the nearest neighbours (Å) after each atom.
Space group R3c (No. 161, hexagonal axes)
Asymmetric unit:
1 Ca 0.0000 0.0000 0.0000 x6  6 O 2.35-2.38
2 Ti 0.0000 0.0000 0.3523 x6  6 O 1.89-2.04
3 V 0.0000 0.0000 0.1433 x6  6 O 1.92-2.02
4 P 0.9996 0.2887 0.2478 x18  4 O 1.52-1.55
5 O 0.0122 0.1972 0.1893 x18  1 P 1.52
6 O 0.0279 0.1889 0.9152 x18  1 P 1.55
7 O 0.1516 0.4734 0.9736 x18  1 P 1.55
8 O 0.1662 0.4792 0.2491 x18  1 P 1.54



Number 1: total DFT energy (no corrections) -137.04 eV per formula unit, mass density 5.39 g/cm3. Number 2: total DFT energy (no corrections) -254.57 eV per formula unit, mass density 8.80 g/cm3. Number 3: total DFT energy (no corrections) -135.37 eV per formula unit, mass density 2.29 g/cm3. Number 4: total DFT energy (no corrections) -167.54 eV per formula unit, mass density 9.58 g/cm3. Number 5: total DFT energy (no corrections) -558.26 eV per formula unit, mass density 3.64 g/cm3. Number 6: total DFT energy (no corrections) -195.78 eV per formula unit, mass density 6.24 g/cm3. Number 7: total DFT energy (no corrections) -125.02 eV per formula unit, mass density 11.98 g/cm3. Number 8: total DFT energy (no corrections) -166.47 eV per formula unit, mass density 10.10 g/cm3. Number 9: total DFT energy (no corrections) -203.30 eV per formula unit, mass density 14.14 g/cm3. Number 10: total DFT energy (no corrections) -143.80 eV per formula unit, mass density 6.19 g/cm3. Number 11: total DFT energy (no corrections) -109.04 eV per formula unit, mass density 3.52 g/cm3. Number 12: total DFT energy (no corrections) -194.53 eV per formula unit, mass density 12.82 g/cm3. Number 13: total DFT energy (no corrections) -58.09 eV per formula unit, mass density 6.69 g/cm3. Number 14: total DFT energy (no corrections) -77.40 eV per formula unit, mass density 6.30 g/cm3. Number 15: total DFT energy (no corrections) -78.31 eV per formula unit, mass density 5.82 g/cm3. Number 16: total DFT energy (no corrections) -196.79 eV per formula unit, mass density 8.58 g/cm3. Number 17: total DFT energy (no corrections) -74.22 eV per formula unit, mass density 5.71 g/cm3. Number 18: total DFT energy (no corrections) -161.77 eV per formula unit, mass density 8.11 g/cm3. Number 19: total DFT energy (no corrections) -202.43 eV per formula unit, mass density 9.11 g/cm3. Number 20: total DFT energy (no corrections) -161.31 eV per formula unit, mass density 13.55 g/cm3. Number 21: total DFT energy (no corrections) -200.44 eV per formula unit, mass density 3.06 g/cm3.